Version P
ScPbI2: optimized geometry, PBE.

Structure (CIF):
```
data_ScPbI2
_chemical_formula_sum 'Sc4 Pb4 I8'
_cell_length_a 10.376
_cell_length_b 10.376
_cell_length_c 5.985
_cell_angle_alpha 90.00
_cell_angle_beta 90.00
_cell_angle_gamma 90.00
_space_group_name_H-M_alt 'I -4 2 d'
_space_group_IT_number 122
_space_group_name_Hall 'I -4 2bw'
loop_
_atom_site_label
_atom_site_type_symbol
_atom_site_fract_x
_atom_site_fract_y
_atom_site_fract_z
Sc1 Sc 0.000 0.000 0.000
Pb1 Pb 0.000 0.000 0.500
I1 I 0.105 0.250 0.125
```

Version Q
ScPbI2: optimized geometry, PBE.

Structure (CIF):
```
data_ScPbI2
_chemical_formula_sum 'Sc4 Pb4 I8'
_cell_length_a 7.780
_cell_length_b 7.780
_cell_length_c 7.780
_cell_angle_alpha 90.00
_cell_angle_beta 90.00
_cell_angle_gamma 90.00
_space_group_name_H-M_alt 'F m -3 m'
_space_group_IT_number 225
_space_group_name_Hall '-F 4 2 3'
loop_
_atom_site_label
_atom_site_type_symbol
_atom_site_fract_x
_atom_site_fract_y
_atom_site_fract_z
Sc1 Sc 0.000 0.000 0.000
Pb1 Pb 0.000 0.000 0.500
I1 I 0.250 0.250 0.250
```

Decreasing stability: version P, version Q

Version P
Pb2SeI2: optimized geometry, PBE.

Structure (CIF):
```
data_Pb2SeI2
_chemical_formula_sum 'Pb8 Se4 I8'
_cell_length_a 12.112
_cell_length_b 8.082
_cell_length_c 8.492
_cell_angle_alpha 90.00
_cell_angle_beta 104.18
_cell_angle_gamma 90.00
_space_group_name_H-M_alt 'P 1 21/c 1'
_space_group_IT_number 14
_space_group_name_Hall '-P 2ybc'
loop_
_atom_site_label
_atom_site_type_symbol
_atom_site_fract_x
_atom_site_fract_y
_atom_site_fract_z
Pb1 Pb 0.018 0.031 0.249
Pb2 Pb 0.321 0.530 0.590
Se1 Se 0.106 0.702 0.539
I1 I 0.214 0.185 0.747
I2 I 0.448 0.742 0.898
```

Version Q
Pb2SeI2: optimized geometry, PBE.

Structure (CIF):
```
data_Pb2SeI2
_chemical_formula_sum 'Pb8 Se4 I8'
_cell_length_a 11.936
_cell_length_b 8.386
_cell_length_c 8.056
_cell_angle_alpha 90.00
_cell_angle_beta 90.00
_cell_angle_gamma 90.00
_space_group_name_H-M_alt 'P b c n'
_space_group_IT_number 60
_space_group_name_Hall '-P 2n 2ab'
loop_
_atom_site_label
_atom_site_type_symbol
_atom_site_fract_x
_atom_site_fract_y
_atom_site_fract_z
Pb1 Pb 0.093 0.214 0.030
Se1 Se 0.000 0.032 0.750
I1 I 0.151 0.389 0.410
```

Decreasing stability: version Q, version P